Entry 1:
# Li2CuRh meta-GGA SCAN single point on PBEsol structure
data_Li2CuRh
_cell_length_a 2.6110
_cell_length_b 2.6110
_cell_length_c 25.7439
_cell_angle_alpha 90.00
_cell_angle_beta 90.00
_cell_angle_gamma 120.00
_symmetry_space_group_name_H-M 'R -3 m'
_symmetry_Int_Tables_number 166
_symmetry_space_group_name_Hall '-R 3 2"'
loop_
_atom_site_label
_atom_site_type_symbol
_atom_site_fract_x
_atom_site_fract_y
_atom_site_fract_z
Li1 Li 0.0000 0.0000 0.2488
Cu1 Cu 0.0000 0.0000 0.0000
Rh1 Rh 0.0000 0.0000 0.5000
# - uncorrected energy (Ry/atom) = -0.9954
# - theoretical density (g/cm3) = 5.91
# - ΔH_f (0 K) (meV/atom) = -105.0
# - offset from the most stable computed form (eV/atom) = 0.032

***

Entry 2:
# TcCl meta-GGA SCAN single point on PBEsol structure
data_TcCl
_cell_length_a 2.795
_cell_length_b 5.260
_cell_length_c 4.061
_cell_angle_alpha 90.00
_cell_angle_beta 90.00
_cell_angle_gamma 90.00
_symmetry_space_group_name_H-M 'C m m m'
_symmetry_Int_Tables_number 65
_symmetry_space_group_name_Hall '-C 2 2'
loop_
_atom_site_label
_atom_site_type_symbol
_atom_site_fract_x
_atom_site_fract_y
_atom_site_fract_z
Tc1 Tc 0.000 0.000 0.000
Cl1 Cl 0.000 0.500 0.500
# - uncorrected energy (Ry/atom) = -1.5299
# - theoretical density (g/cm3) = 7.42
# - offset from the most stable computed form (eV/atom) = 0.917
# - uncorrected formation energy (meV per atom) = 704

***

Entry 3:
# Cs2AgF meta-GGA SCAN single point on PBEsol structure
data_Cs2AgF
_cell_length_a 8.412
_cell_length_b 8.412
_cell_length_c 9.256
_cell_angle_alpha 90.00
_cell_angle_beta 90.00
_cell_angle_gamma 90.00
_symmetry_space_group_name_H-M 'I -4 2 d'
_symmetry_Int_Tables_number 122
_symmetry_space_group_name_Hall 'I -4 2bw'
loop_
_atom_site_label
_atom_site_type_symbol
_atom_site_fract_x
_atom_site_fract_y
_atom_site_fract_z
Cs1 Cs 0.166 0.750 0.125
Ag1 Ag 0.000 0.000 0.500
F1 F 0.000 0.000 0.000
# - uncorrected energy (Ry/atom) = -2.1261
# - theoretical density (g/cm3) = 3.98
# - uncorrected formation energy (meV per atom) = -1296

***

Entry 4:
# ZnFeBr2 meta-GGA SCAN single point on PBEsol structure
data_ZnFeBr2
_cell_length_a 3.447
_cell_length_b 6.337
_cell_length_c 9.160
_cell_angle_alpha 90.00
_cell_angle_beta 90.00
_cell_angle_gamma 90.00
_symmetry_space_group_name_H-M 'C m m m'
_symmetry_Int_Tables_number 65
_symmetry_space_group_name_Hall '-C 2 2'
loop_
_atom_site_label
_atom_site_type_symbol
_atom_site_fract_x
_atom_site_fract_y
_atom_site_fract_z
Zn1 Zn 0.000 0.000 0.000
Fe1 Fe 0.000 0.000 0.500
Br1 Br 0.000 0.500 0.308
# - uncorrected energy (Ry/atom) = -1.2989
# - theoretical density (g/cm3) = 4.67
# - offset from the most stable computed form (eV/atom) = 0.045
# - uncorrected formation energy (meV per atom) = -32

***

Entry 5:
# CsLa3Si meta-GGA SCAN single point on PBEsol structure
data_CsLa3Si
_cell_length_a 5.681
_cell_length_b 5.681
_cell_length_c 5.681
_cell_angle_alpha 90.00
_cell_angle_beta 90.00
_cell_angle_gamma 90.00
_symmetry_space_group_name_H-M 'P m -3 m'
_symmetry_Int_Tables_number 221
_symmetry_space_group_name_Hall '-P 4 2 3'
loop_
_atom_site_label
_atom_site_type_symbol
_atom_site_fract_x
_atom_site_fract_y
_atom_site_fract_z
Cs1 Cs 0.000 0.000 0.000
La1 La 0.000 0.000 0.500
Si1 Si 0.500 0.500 0.500
# - uncorrected energy (Ry/atom) = -2.5183
# - theoretical density (g/cm3) = 5.23
# - offset from the most stable computed form (eV/atom) = 1.051
# - uncorrected formation energy (meV per atom) = 1165

***

Entry 6:
# LiAl3C meta-GGA SCAN single point on PBEsol structure
data_LiAl3C
_cell_length_a 4.087
_cell_length_b 4.087
_cell_length_c 4.087
_cell_angle_alpha 90.00
_cell_angle_beta 90.00
_cell_angle_gamma 90.00
_symmetry_space_group_name_H-M 'P m -3 m'
_symmetry_Int_Tables_number 221
_symmetry_space_group_name_Hall '-P 4 2 3'
loop_
_atom_site_label
_atom_site_type_symbol
_atom_site_fract_x
_atom_site_fract_y
_atom_site_fract_z
Li1 Li 0.000 0.000 0.000
Al1 Al 0.000 0.500 0.500
C1 C 0.500 0.500 0.500
# - uncorrected energy (Ry/atom) = -0.5037
# - theoretical density (g/cm3) = 2.43
# - ΔH_f (0 K) (meV/atom) = 295.2

***

Entry 7:
# PbSe2O5 meta-GGA SCAN single point on PBEsol structure
data_PbSe2O5
_cell_length_a 4.480
_cell_length_b 9.445
_cell_length_c 12.410
_cell_angle_alpha 90.00
_cell_angle_beta 110.85
_cell_angle_gamma 90.00
_symmetry_space_group_name_H-M 'P 1 21/c 1'
_symmetry_Int_Tables_number 14
loop_
_symmetry_equiv_pos_as_xyz
'x,y,z'
'-x,-y,-z'
'-x,y+1/2,-z+1/2'
'x,-y+1/2,z+1/2'
loop_
_atom_site_label
_atom_site_type_symbol
_atom_site_fract_x
_atom_site_fract_y
_atom_site_fract_z
Pb1 Pb 0.144 0.042 0.347
Se1 Se 0.307 0.643 0.579
Se2 Se 0.324 0.247 0.116
O1 O 0.001 0.234 0.654
O2 O 0.138 0.152 0.974
O3 O 0.345 0.089 0.558
O4 O 0.361 0.535 0.692
O5 O 0.385 0.694 0.138
# - uncorrected energy (Ry/atom) = -1.4255
# - theoretical density (g/cm3) = 6.02
# - uncorrected formation energy (meV per atom) = -1008

***

Entry 8:
# SrBe2HgPt meta-GGA SCAN single point on PBEsol structure
data_SrBe2HgPt
_cell_length_a 5.752
_cell_length_b 5.752
_cell_length_c 5.285
_cell_angle_alpha 90.00
_cell_angle_beta 90.00
_cell_angle_gamma 90.00
_symmetry_space_group_name_H-M 'P 4/m m m'
_symmetry_Int_Tables_number 123
_symmetry_space_group_name_Hall '-P 4 2'
loop_
_atom_site_label
_atom_site_type_symbol
_atom_site_fract_x
_atom_site_fract_y
_atom_site_fract_z
Sr1 Sr 0.000 0.000 0.000
Be1 Be 0.000 0.500 0.000
Hg1 Hg 0.500 0.500 0.500
Pt1 Pt 0.000 0.000 0.500
# - uncorrected energy (Ry/atom) = -2.3656
# - theoretical density (g/cm3) = 4.76
# - ΔH_f (0 K) (meV/atom) = 1682.6

***

Entry 9:
# Zn2CoCl meta-GGA SCAN single point on PBEsol structure
data_Zn2CoCl
_cell_length_a 2.879
_cell_length_b 5.192
_cell_length_c 8.046
_cell_angle_alpha 90.00
_cell_angle_beta 90.00
_cell_angle_gamma 90.00
_symmetry_space_group_name_H-M 'C m m 2'
_symmetry_Int_Tables_number 35
loop_
_symmetry_equiv_pos_as_xyz
'x,y,z'
'-x,-y,z'
'-x,y,z'
'x,-y,z'
'x+1/2,y+1/2,z'
'-x+1/2,-y+1/2,z'
'-x+1/2,y+1/2,z'
'x+1/2,-y+1/2,z'
loop_
_atom_site_label
_atom_site_type_symbol
_atom_site_fract_x
_atom_site_fract_y
_atom_site_fract_z
Zn1 Zn 0.000 0.000 0.000
Zn2 Zn 0.000 0.500 0.262
Co1 Co 0.000 0.500 0.759
Cl1 Cl 0.000 0.000 0.545
# - uncorrected energy (Ry/atom) = -0.9530
# - theoretical density (g/cm3) = 6.22
# - offset from the most stable computed form (eV/atom) = 0.048
# - uncorrected formation energy (meV per atom) = 112

***

Entry 10:
# FeOs2Pb meta-GGA SCAN single point on PBEsol structure
data_FeOs2Pb
_cell_length_a 6.281
_cell_length_b 6.281
_cell_length_c 6.281
_cell_angle_alpha 90.00
_cell_angle_beta 90.00
_cell_angle_gamma 90.00
_symmetry_space_group_name_H-M 'F m -3 m'
_symmetry_Int_Tables_number 225
_symmetry_space_group_name_Hall '-F 4 2 3'
loop_
_atom_site_label
_atom_site_type_symbol
_atom_site_fract_x
_atom_site_fract_y
_atom_site_fract_z
Fe1 Fe 0.000 0.000 0.000
Os1 Os 0.250 0.250 0.250
Pb1 Pb 0.000 0.000 0.500
# - uncorrected energy (Ry/atom) = -4.3084
# - theoretical density (g/cm3) = 17.25
# - ΔH_f (0 K) (meV/atom) = 799.0

***

Entry 11:
# RbTaAs2 meta-GGA SCAN single point on PBEsol structure
data_RbTaAs2
_cell_length_a 7.239
_cell_length_b 7.239
_cell_length_c 10.699
_cell_angle_alpha 90.00
_cell_angle_beta 90.00
_cell_angle_gamma 90.00
_symmetry_space_group_name_H-M 'I -4 2 d'
_symmetry_Int_Tables_number 122
_symmetry_space_group_name_Hall 'I -4 2bw'
loop_
_atom_site_label
_atom_site_type_symbol
_atom_site_fract_x
_atom_site_fract_y
_atom_site_fract_z
Rb1 Rb 0.000 0.000 0.000
Ta1 Ta 0.000 0.000 0.500
As1 As 0.126 0.250 0.625
# - uncorrected energy (Ry/atom) = -2.3661
# - theoretical density (g/cm3) = 4.93
# - ΔH_f (0 K) (meV/atom) = -266.8

***

Entry 12:
# HfTi2Ga2 meta-GGA SCAN single point on PBEsol structure
data_HfTi2Ga2
_cell_length_a 7.204
_cell_length_b 7.204
_cell_length_c 3.208
_cell_angle_alpha 90.00
_cell_angle_beta 90.00
_cell_angle_gamma 90.00
_symmetry_space_group_name_H-M 'P 4/m b m'
_symmetry_Int_Tables_number 127
_symmetry_space_group_name_Hall '-P 4 2ab'
loop_
_atom_site_label
_atom_site_type_symbol
_atom_site_fract_x
_atom_site_fract_y
_atom_site_fract_z
Hf1 Hf 0.000 0.000 0.000
Ti1 Ti 0.177 0.323 0.500
Ga1 Ga 0.123 0.623 0.000
# - uncorrected energy (Ry/atom) = -1.9107
# - theoretical density (g/cm3) = 8.25
# - ΔH_f (0 K) (meV/atom) = -511.3

***

Entry 13:
# GaCuOF2 meta-GGA SCAN single point on PBEsol structure
data_GaCuOF2
_cell_length_a 3.888
_cell_length_b 3.888
_cell_length_c 3.828
_cell_angle_alpha 90.00
_cell_angle_beta 90.00
_cell_angle_gamma 90.00
_symmetry_space_group_name_H-M 'P 4/m m m'
_symmetry_Int_Tables_number 123
_symmetry_space_group_name_Hall '-P 4 2'
loop_
_atom_site_label
_atom_site_type_symbol
_atom_site_fract_x
_atom_site_fract_y
_atom_site_fract_z
Ga1 Ga 0.000 0.000 0.000
Cu1 Cu 0.500 0.500 0.500
O1 O 0.500 0.500 0.000
F1 F 0.000 0.500 0.500
# - uncorrected energy (Ry/atom) = -0.7393
# - theoretical density (g/cm3) = 5.37
# - uncorrected formation energy (meV per atom) = -1087

***

Entry 14:
# MgCd2BN meta-GGA SCAN single point on PBEsol structure
data_MgCd2BN
_cell_length_a 4.496
_cell_length_b 4.496
_cell_length_c 3.971
_cell_angle_alpha 90.00
_cell_angle_beta 90.00
_cell_angle_gamma 90.00
_symmetry_space_group_name_H-M 'P 4/m m m'
_symmetry_Int_Tables_number 123
_symmetry_space_group_name_Hall '-P 4 2'
loop_
_atom_site_label
_atom_site_type_symbol
_atom_site_fract_x
_atom_site_fract_y
_atom_site_fract_z
Mg1 Mg 0.000 0.000 0.000
Cd1 Cd 0.000 0.500 0.500
B1 B 0.500 0.500 0.000
N1 N 0.000 0.000 0.500
# - uncorrected energy (Ry/atom) = -1.1600
# - theoretical density (g/cm3) = 5.67
# - uncorrected formation energy (meV per atom) = 721

***

Entry 15:
# Li2ScCd meta-GGA SCAN single point on PBEsol structure
data_Li2ScCd
_cell_length_a 6.744
_cell_length_b 6.744
_cell_length_c 6.744
_cell_angle_alpha 90.00
_cell_angle_beta 90.00
_cell_angle_gamma 90.00
_symmetry_space_group_name_H-M 'F -4 3 m'
_symmetry_Int_Tables_number 216
_symmetry_space_group_name_Hall 'F -4 2 3'
loop_
_atom_site_label
_atom_site_type_symbol
_atom_site_fract_x
_atom_site_fract_y
_atom_site_fract_z
Li1 Li 0.000 0.000 0.000
Li2 Li 0.250 0.250 0.250
Sc1 Sc 0.250 0.250 0.750
Cd1 Cd 0.000 0.000 0.500
# - uncorrected energy (Ry/atom) = -0.9174
# - theoretical density (g/cm3) = 3.71
# - ΔH_f (0 K) (meV/atom) = -123.6
# - offset from the most stable computed form (eV/atom) = 0.008

***

Entry 16:
# TaCrP2O meta-GGA SCAN single point on PBEsol structure
data_TaCrP2O
_cell_length_a 4.593
_cell_length_b 4.593
_cell_length_c 3.368
_cell_angle_alpha 90.00
_cell_angle_beta 90.00
_cell_angle_gamma 90.00
_symmetry_space_group_name_H-M 'P 4/m m m'
_symmetry_Int_Tables_number 123
_symmetry_space_group_name_Hall '-P 4 2'
loop_
_atom_site_label
_atom_site_type_symbol
_atom_site_fract_x
_atom_site_fract_y
_atom_site_fract_z
Ta1 Ta 0.000 0.000 0.000
Cr1 Cr 0.500 0.500 0.500
P1 P 0.000 0.500 0.500
O1 O 0.500 0.500 0.000
# - uncorrected energy (Ry/atom) = -1.6564
# - theoretical density (g/cm3) = 7.27
# - uncorrected formation energy (meV per atom) = -137

***

Entry 17:
# CuIrSe2N meta-GGA SCAN single point on PBEsol structure
data_CuIrSe2N
_cell_length_a 4.797
_cell_length_b 4.797
_cell_length_c 3.349
_cell_angle_alpha 90.00
_cell_angle_beta 90.00
_cell_angle_gamma 90.00
_symmetry_space_group_name_H-M 'P 4/m m m'
_symmetry_Int_Tables_number 123
_symmetry_space_group_name_Hall '-P 4 2'
loop_
_atom_site_label
_atom_site_type_symbol
_atom_site_fract_x
_atom_site_fract_y
_atom_site_fract_z
Cu1 Cu 0.000 0.000 0.000
Ir1 Ir 0.500 0.500 0.500
Se1 Se 0.000 0.500 0.000
N1 N 0.000 0.000 0.500
# - uncorrected energy (Ry/atom) = -1.9036
# - theoretical density (g/cm3) = 9.22
# - uncorrected formation energy (meV per atom) = 1250

***

Entry 18:
# YReSb meta-GGA SCAN single point on PBEsol structure
data_YReSb
_cell_length_a 4.5667
_cell_length_b 4.5667
_cell_length_c 3.5408
_cell_angle_alpha 90.00
_cell_angle_beta 90.00
_cell_angle_gamma 120.00
_symmetry_space_group_name_H-M 'P -6 m 2'
_symmetry_Int_Tables_number 187
_symmetry_space_group_name_Hall 'P -6 2'
loop_
_atom_site_label
_atom_site_type_symbol
_atom_site_fract_x
_atom_site_fract_y
_atom_site_fract_z
Y1 Y 0.0000 0.0000 0.0000
Re1 Re 0.6667 0.3333 0.5000
Sb1 Sb 0.3333 0.6667 0.5000
# - uncorrected energy (Ry/atom) = -3.3458
# - theoretical density (g/cm3) = 10.31
# - uncorrected formation energy (meV per atom) = -122

***

Entry 19:
# SrHgW2 meta-GGA SCAN single point on PBEsol structure
data_SrHgW2
_cell_length_a 2.816
_cell_length_b 5.167
_cell_length_c 11.066
_cell_angle_alpha 90.00
_cell_angle_beta 90.00
_cell_angle_gamma 90.00
_symmetry_space_group_name_H-M 'I m m m'
_symmetry_Int_Tables_number 71
_symmetry_space_group_name_Hall '-I 2 2'
loop_
_atom_site_label
_atom_site_type_symbol
_atom_site_fract_x
_atom_site_fract_y
_atom_site_fract_z
Sr1 Sr 0.000 0.000 0.000
Hg1 Hg 0.000 0.000 0.500
W1 W 0.000 0.500 0.228
# - uncorrected energy (Ry/atom) = -4.1471
# - theoretical density (g/cm3) = 13.53
# - ΔH_f (0 K) (meV/atom) = 1029.5

***

Entry 20:
# MgZn2Cd meta-GGA SCAN single point on PBEsol structure
data_MgZn2Cd
_cell_length_a 3.021
_cell_length_b 3.987
_cell_length_c 5.833
_cell_angle_alpha 90.00
_cell_angle_beta 90.00
_cell_angle_gamma 90.00
_symmetry_space_group_name_H-M 'P m m 2'
_symmetry_Int_Tables_number 25
loop_
_symmetry_equiv_pos_as_xyz
'x,y,z'
'-x,-y,z'
'-x,y,z'
'x,-y,z'
loop_
_atom_site_label
_atom_site_type_symbol
_atom_site_fract_x
_atom_site_fract_y
_atom_site_fract_z
Mg1 Mg 0.000 0.000 0.000
Zn1 Zn 0.000 0.000 0.471
Zn2 Zn 0.500 0.500 0.248
Cd1 Cd 0.500 0.500 0.727
# - uncorrected energy (Ry/atom) = -1.1471
# - theoretical density (g/cm3) = 6.32
# - ΔH_f (0 K) (meV/atom) = -2.1
# - offset from the most stable computed form (eV/atom) = 0.059